(1)
Fe2IrBr | PBE | relaxed

abc: 6.602 6.602 5.345
angles: 51.86 51.86 90.00
Fractional coordinates of all 8 atoms:
Ir  0.000  0.000  0.000
Ir  0.750  0.250  0.500
Fe  0.613  0.125  0.250
Fe  0.137  0.625  0.250
Fe  0.375  0.387  0.750
Fe  0.875  0.863  0.750
Br  0.500  0.500  0.000
Br  0.250  0.750  0.500

Summary:
**E_form (uncorrected)**: 1.019 eV/atom

(2)
Fe2IrBr | PBE | relaxed

abc: 4.870 4.870 4.870
angles: 133.08 133.08 68.54
Fractional coordinates of all 4 atoms:
Br  0.250  0.750  0.500
Fe  0.000  0.000  0.000
Fe  0.500  0.500  0.000
Ir  0.750  0.250  0.500

Summary:
**E_form (uncorrected)**: 0.832 eV/atom

(3)
Fe2IrBr | PBE | relaxed

abc: 4.412 4.412 4.412
angles: 60.00 60.00 60.00
Fractional coordinates of all 4 atoms:
Ir  0.500  0.500  0.500
Fe  0.250  0.250  0.250
Fe  0.750  0.750  0.750
Br  0.000  0.000  0.000

Summary:
**E_form (uncorrected)**: 0.832 eV/atom

Number 1: E above lowest polymorph 685 meV/atom. Number 2: E above lowest polymorph 498 meV/atom. Number 3: E above lowest polymorph 499 meV/atom.